The following is a DFT calculation (PBE) of a geometry-optimized Na8Al6Si6BrClO24 structure.

Computed properties:
Electronic total energy   -6.77 eV/atom
Raw formation energy   -2.68 eV/atom

Geometry as CIF:
```
data_Na8Al6Si6BrClO24
_chemical_formula_sum 'Na8 Al6 Si6 Br1 Cl1 O24'
_symmetry_space_group_name_H-M 'P 2 3'
_symmetry_Int_Tables_number 195
_symmetry_space_group_name_Hall 'P 2 2 3'
_cell_length_a 8.994
_cell_length_b 8.994
_cell_length_c 8.994
_cell_angle_alpha 90.00
_cell_angle_beta 90.00
_cell_angle_gamma 90.00
loop_
_atom_site_label
_atom_site_fract_x
_atom_site_fract_y
_atom_site_fract_z
Na1 0.178 0.178 0.178
Na2 0.316 0.316 0.684
Al1 0.000 0.500 0.250
Si1 0.000 0.250 0.500
Br1 0.500 0.500 0.500
Cl1 0.000 0.000 0.000
O1 0.061 0.350 0.640
O2 0.140 0.149 0.439
```